K3CaMn (PBE, optimized geometry); energy of formation = 0.755 eV/atom; DOS(E_F) = 12.5 states/eV/cell; offset from the most stable computed form = 0.000 eV/atom
1.0
6.6966 0.0000 0.0000
0.0000 6.6966 0.0000
0.0000 0.0000 6.6966
K Ca Mn
3 1 1
Direct
0.0000 0.0000 0.5000
0.0000 0.5000 0.0000
0.5000 0.0000 0.0000
0.5000 0.5000 0.5000
0.0000 0.0000 0.0000